(1)
The following is a PBE-GGA calculation of a geometry-optimized BeCoCuRu structure, from Alexandria.

Calculated values
Calculated density ... 8.48 g/cm³
Formation energy from the elements ... 44 meV per atom
Total magnetization ... 0.595 μB per atom
SG ... No. 216

Structure (POSCAR):
```
BeCoCuRu
1.0
0.000 2.835 2.835
2.835 0.000 2.835
2.835 2.835 0.000
Be Co Cu Ru
1 1 1 1
Cartesian
0.000 0.000 0.000
2.835 2.835 2.835
4.252 4.252 4.252
1.417 1.417 1.417
```


(2)
The following is a PBE-GGA calculation of a geometry-optimized Sm2Be3CoCu12 structure, from Alexandria.

Calculated values
Calculated density ... 6.71 g/cm³
Formation energy from the elements ... 371 meV per atom
Total magnetization ... 0.064 μB per atom
SG ... No. 166

Structure (POSCAR):
```
Sm2Be3CoCu12
1.0
3.796 2.192 5.700
-3.796 2.192 5.700
0.000 -4.383 5.700
Sm Be Co Cu
2 3 1 12
Cartesian
0.000 0.000 1.849
0.000 0.000 15.251
-1.898 -1.096 5.700
-1.898 1.096 11.400
0.000 2.192 5.700
0.000 0.000 8.550
-1.888 -1.090 7.779
0.000 -1.911 5.307
-1.655 0.956 5.307
0.000 -2.180 9.321
-1.888 1.090 9.321
-1.655 -0.956 11.794
1.655 0.956 5.307
1.888 -1.090 7.779
0.000 2.180 7.779
1.655 -0.956 11.794
0.000 1.911 11.794
1.888 1.090 9.321
```


(3)
The following is a PBE-GGA calculation of a geometry-optimized SrBeCo2Cu structure, from Alexandria.

Calculated values
Calculated density ... 5.20 g/cm³
Formation energy from the elements ... 802 meV per atom
Total magnetization ... 0.409 μB per atom
SG ... No. 123

Structure (POSCAR):
```
SrBeCo2Cu
1.0
4.105 0.000 0.000
0.000 4.105 0.000
0.000 0.000 5.270
Sr Be Co Cu
1 1 2 1
Cartesian
0.000 0.000 0.000
0.000 0.000 2.635
0.000 2.052 2.635
2.052 0.000 2.635
2.052 2.052 0.000
```


(4)
The following is a PBE-GGA calculation of a geometry-optimized Ta2Be2Co5Cu structure, from Alexandria.

Calculated values
Calculated density ... 10.83 g/cm³
Formation energy from the elements ... -214 meV per atom
Total magnetization ... 0.000 μB per atom
SG ... No. 127

Structure (POSCAR):
```
Ta2Be2Co5Cu
1.0
8.469 0.000 0.000
0.000 8.469 0.000
0.000 0.000 3.155
Ta Be Co Cu
4 4 10 2
Cartesian
1.513 2.722 0.000
2.722 6.956 0.000
5.748 1.513 0.000
6.956 5.748 0.000
0.997 5.231 0.000
3.238 0.997 0.000
5.231 7.473 0.000
7.473 3.238 0.000
0.000 4.235 1.578
0.586 6.668 1.578
1.802 0.586 1.578
2.433 4.821 1.578
3.648 2.433 1.578
4.235 0.000 1.578
4.821 6.036 1.578
6.036 3.648 1.578
6.668 7.883 1.578
7.883 1.802 1.578
0.000 0.000 0.000
4.235 4.235 0.000
```


(5)
The following is a PBE-GGA calculation of a geometry-optimized Ti2Be2Co5Cu structure, from Alexandria.

Calculated values
Calculated density ... 7.08 g/cm³
Formation energy from the elements ... -222 meV per atom
Total magnetization ... 0.160 μB per atom
SG ... No. 127

Structure (POSCAR):
```
Ti2Be2Co5Cu
1.0
8.443 0.000 0.000
0.000 8.443 0.000
0.000 0.000 3.105
Ti Be Co Cu
4 4 10 2
Cartesian
1.492 2.730 0.000
2.730 6.951 0.000
5.714 1.492 0.000
6.951 5.714 0.000
1.014 5.235 0.000
3.208 1.014 0.000
5.235 7.429 0.000
7.429 3.208 0.000
0.000 4.222 1.552
0.598 6.663 1.552
1.780 0.598 1.552
2.442 4.820 1.552
3.623 2.442 1.552
4.222 0.000 1.552
4.820 6.002 1.552
6.002 3.623 1.552
6.663 7.845 1.552
7.845 1.780 1.552
0.000 0.000 0.000
4.222 4.222 0.000
```


(6)
The following is a PBE-GGA calculation of a geometry-optimized BeVCoCu structure, from Alexandria.

Calculated values
Calculated density ... 6.89 g/cm³
Formation energy from the elements ... -39 meV per atom
Total magnetization ... 0.205 μB per atom
SG ... No. 216

Structure (POSCAR):
```
BeVCoCu
1.0
0.000 2.802 2.802
2.802 0.000 2.802
2.802 2.802 0.000
Be V Co Cu
1 1 1 1
Cartesian
0.000 0.000 0.000
2.802 2.802 2.802
1.401 1.401 1.401
4.203 4.203 4.203
```


(7)
The following is a PBE-GGA calculation of a geometry-optimized Y2BeCoCu structure, from Alexandria.

Calculated values
Calculated density ... 4.59 g/cm³
Formation energy from the elements ... 418 meV per atom
Total magnetization ... 0.000 μB per atom
SG ... No. 123

Structure (POSCAR):
```
Y2BeCoCu
1.0
4.989 0.000 0.000
0.000 4.989 0.000
0.000 0.000 4.491
Y Be Co Cu
2 1 1 1
Cartesian
0.000 2.495 0.000
2.495 0.000 0.000
0.000 0.000 2.246
2.495 2.495 0.000
2.495 2.495 2.246
```


(8)
The following is a PBE-GGA calculation of a geometry-optimized BeZnCoCu structure, from Alexandria.

Calculated values
Calculated density ... 7.44 g/cm³
Formation energy from the elements ... -18 meV per atom
Total magnetization ... 0.139 μB per atom
SG ... No. 216

Structure (POSCAR):
```
BeZnCoCu
1.0
0.000 2.801 2.801
2.801 0.000 2.801
2.801 2.801 0.000
Be Zn Co Cu
1 1 1 1
Cartesian
0.000 0.000 0.000
2.801 2.801 2.801
1.400 1.400 1.400
4.201 4.201 4.201
```


(9)
The following is a PBE-GGA calculation of a geometry-optimized DyBe4Co structure, from Alexandria.

Calculated values
Calculated density ... 6.25 g/cm³
Formation energy from the elements ... -107 meV per atom
Total magnetization ... 0.000 μB per atom
SG ... No. 216

Structure (POSCAR):
```
DyBe4Co
1.0
0.000 3.246 3.246
3.246 0.000 3.246
3.246 3.246 0.000
Dy Be Co
1 4 1
Cartesian
0.000 0.000 0.000
2.459 2.459 2.459
4.032 4.032 2.459
4.032 2.459 4.032
2.459 4.032 4.032
4.869 4.869 4.869
```


(10)
The following is a PBE-GGA calculation of a geometry-optimized Dy2BeCo structure, from Alexandria.

Calculated values
Calculated density ... 7.60 g/cm³
Formation energy from the elements ... -161 meV per atom
Total magnetization ... 0.000 μB per atom
Energy relative to the lowest polymorph listed for this composition ... 0 meV/atom
SG ... No. 8

Structure (POSCAR):
```
Dy2BeCo
1.0
3.325 -1.904 0.000
3.325 1.904 0.000
-2.172 0.000 6.783
Dy Be Co
2 1 1
Cartesian
0.000 0.000 0.000
0.006 0.000 3.559
2.216 0.000 1.776
4.430 0.000 1.784
```


(11)
The following is a PBE-GGA calculation of a geometry-optimized Dy2BeCo structure, from Alexandria.

Calculated values
Calculated density ... 8.55 g/cm³
Formation energy from the elements ... -29 meV per atom
Total magnetization ... 0.000 μB per atom
Energy relative to the lowest polymorph listed for this composition ... 132 meV/atom
SG ... No. 225

Structure (POSCAR):
```
Dy2BeCo
1.0
0.000 3.367 3.367
3.367 0.000 3.367
3.367 3.367 0.000
Dy Be Co
2 1 1
Cartesian
1.684 1.684 1.684
5.051 5.051 5.051
0.000 0.000 0.000
3.367 3.367 3.367
```


(12)
The following is a PBE-GGA calculation of a geometry-optimized DyBeCo2 structure, from Alexandria.

Calculated values
Calculated density ... 7.84 g/cm³
Formation energy from the elements ... -180 meV per atom
Total magnetization ... 0.356 μB per atom
SG ... No. 166

Structure (POSCAR):
```
DyBeCo2
1.0
1.933 1.116 4.736
-1.933 1.116 4.736
0.000 -2.232 4.736
Dy Be Co
1 1 2
Cartesian
0.000 0.000 0.000
0.000 0.000 7.104
0.000 0.000 2.699
0.000 0.000 11.510
```